An optimized crystal structure of Dy8HgPd2, computed with PBE.

Computed properties:
As for the space group: C2/m. The formation energy is -0.4015 eV per atom. The calculation puts the excess energy over the best structure of this formula in the dataset at 0.00 kcal/mol of atoms. As for the magnetization: 0.00 μB/atom. The calculation puts the total energy at -0.1735 Ha/atom.

Cell lengths 9.308, 9.308, 6.887 Å; angles 106.09, 106.09, 31.87 degrees
Positions (direct):
Dy: 0.033 0.033 0.272
Dy: 0.201 0.201 0.833
Dy: 0.326 0.326 0.514
Dy: 0.406 0.406 0.028
Dy: 0.594 0.594 0.972
Dy: 0.674 0.674 0.486
Dy: 0.799 0.799 0.167
Dy: 0.967 0.967 0.728
Hg: 0.500 0.500 0.500
Pd: 0.181 0.181 0.225
Pd: 0.819 0.819 0.775